Compound: CsMn2BeF8
Source: Alexandria
Functional: GGA+U
Structure: optimized geometry

Calculated values
- uncorrected energy (eV per cell) = -65.9

```
data_CsMn2BeF8
_cell_length_a 4.429
_cell_length_b 4.432
_cell_length_c 9.485
_cell_angle_alpha 85.68
_cell_angle_beta 88.78
_cell_angle_gamma 89.03
_symmetry_space_group_name_H-M 'P 1'
_symmetry_Int_Tables_number 1
_symmetry_space_group_name_Hall 'P 1'
loop_
_atom_site_label
_atom_site_type_symbol
_atom_site_fract_x
_atom_site_fract_y
_atom_site_fract_z
Cs1 Cs 0.000 0.000 0.000
Mn1 Mn 0.490 0.475 0.665
Mn2 Mn 0.510 0.525 0.335
Be1 Be 0.000 0.000 0.500
F1 F 0.180 0.171 0.644
F2 F 0.198 0.215 0.352
F3 F 0.279 0.725 0.501
F4 F 0.493 0.599 0.135
F5 F 0.507 0.401 0.865
F6 F 0.721 0.275 0.499
F7 F 0.802 0.785 0.648
F8 F 0.820 0.829 0.356
```